Entry 1:
VASP calculation (GGA-PBE) on crystalline In2NiOs at its relaxed geometry.

a = 8.706 Å, b = 8.706 Å, c = 8.706 Å
α = 20.03°, β = 20.03°, γ = 20.03°
Sites, in units of the cell vectors:
In: 0.246 0.246 0.246
In: 0.754 0.754 0.754
Ni: 0.500 0.500 0.500
Os: 0.000 0.000 0.000

Values from the calculation:
The calculated density comes out at 11.735 g/cm3. The value obtained for the total energy is -5.251 eV/atom. The total moment is 0.00 μB per cell.


Entry 2:
VASP calculation (GGA-PBE) on crystalline Ce2CuSi3Ir4 at its relaxed geometry.

a = 4.127 Å, b = 4.127 Å, c = 10.124 Å
α = 90.00°, β = 90.00°, γ = 90.00°
Sites, in units of the cell vectors:
Ce: 0.000 0.500 0.242
Ce: 0.500 0.000 0.758
Cu: 0.500 0.500 0.000
Si: 0.000 0.000 0.000
Si: 0.000 0.500 0.627
Si: 0.500 0.000 0.373
Ir: 0.000 0.000 0.500
Ir: 0.000 0.500 0.862
Ir: 0.500 0.000 0.138
Ir: 0.500 0.500 0.500

Values from the calculation:
The calculated density comes out at 11.528 g/cm3. The total moment is 0.76 μB per cell. The calculation puts the raw formation energy at -894 meV/atom.